First-principles (GGA+U) data for K2FeF5 after structural relaxation, as listed in the Alexandria database.

Cell: 6.3207 6.3207 7.5740 Å, 90.00 90.00 90.00°
Space group I4mm (No. 107)
Asymmetric unit:
1 K 0.0000 0.5000 0.0000
2 Fe 0.0000 0.0000 0.2348
3 F 0.0000 0.0000 0.9920
4 F 0.2101 0.2101 0.2872

First-principles (GGA+U) data for CdWN2O after structural relaxation, as listed in the Alexandria database.

Cell: 4.0395 4.0395 3.9045 Å, 90.00 90.00 90.00°
Space group P4/mmm (No. 123)
Asymmetric unit:
1 Cd 0.0000 0.0000 0.0000
2 W 0.5000 0.5000 0.5000
3 N 0.0000 0.5000 0.5000
4 O 0.5000 0.5000 0.0000

Number 1: size of the total moment 10.00 Bohr magnetons per cell, DFT total energy -0.3511 Ry per atom, volume 18.91 A^3/atom. Number 2: size of the total moment 0.00 Bohr magnetons per cell, DFT total energy -0.4489 Ry per atom, volume 12.74 A^3/atom.